Record 1
This record from the Alexandria database describes an optimized crystal structure of NbCuIr2. The functional is PBE-GGA.

```
4
Lattice="-1.9996 1.9996 3.7105 1.9996 -1.9996 3.7105 1.9996 1.9996 -3.7105" Properties=species:S:1:pos:R:3 pbc="T T T"
Nb 0.0000 0.0000 0.0000
Cu 0.0000 0.0000 3.7105
Ir 1.9996 0.0000 1.8552
Ir 0.0000 1.9996 1.8552
```

Summary:
For the raw total energy, the calculation gives -8.34 eV/atom. As for the size of the total moment: 0.00 μB/atom.

---

Record 2
This record from the Alexandria database describes an optimized crystal structure of NbCuIr2. The functional is PBE-GGA.

```
4
Lattice="4.0091 0.0000 0.0000 0.0000 4.0091 0.0000 0.0000 0.0000 3.6745" Properties=species:S:1:pos:R:3 pbc="T T T"
Nb 0.0000 0.0000 0.0000
Cu 2.0046 2.0046 0.0000
Ir 0.0000 2.0046 1.8373
Ir 2.0046 0.0000 1.8373
```

Summary:
For the raw total energy, the calculation gives -8.30 eV/atom. As for the size of the total moment: 0.00 μB/atom.

---

Record 3
This record from the Alexandria database describes an optimized crystal structure of NbCuIr2. The functional is PBE-GGA.

```
4
Lattice="0.0000 3.1038 3.1038 3.1038 0.0000 3.1038 3.1038 3.1038 0.0000" Properties=species:S:1:pos:R:3 pbc="T T T"
Nb 0.0000 0.0000 0.0000
Cu 3.1038 3.1038 3.1038
Ir 1.5519 1.5519 1.5519
Ir 4.6558 4.6558 4.6558
```

Summary:
For the raw total energy, the calculation gives -8.26 eV/atom. As for the size of the total moment: 0.00 μB/atom.

---

Record 4
This record from the Alexandria database describes an optimized crystal structure of NbCuIr2. The functional is PBE-GGA.

```
4
Lattice="3.2463 0.0000 0.0000 0.0000 3.2463 0.0000 0.0000 0.0000 5.6849" Properties=species:S:1:pos:R:3 pbc="T T T"
Nb 0.0000 0.0000 0.0000
Cu 0.0000 0.0000 2.8425
Ir 1.6232 1.6232 1.4774
Ir 1.6232 1.6232 4.2075
```

Summary:
For the raw total energy, the calculation gives -8.26 eV/atom. As for the size of the total moment: 0.00 μB/atom.

---

Please write out number 1 again, unchanged.
This record from the Alexandria database describes an optimized crystal structure of NbCuIr2. The functional is PBE-GGA.

```
4
Lattice="-1.9996 1.9996 3.7105 1.9996 -1.9996 3.7105 1.9996 1.9996 -3.7105" Properties=species:S:1:pos:R:3 pbc="T T T"
Nb 0.0000 0.0000 0.0000
Cu 0.0000 0.0000 3.7105
Ir 1.9996 0.0000 1.8552
Ir 0.0000 1.9996 1.8552
```

Summary:
For the raw total energy, the calculation gives -8.34 eV/atom. As for the size of the total moment: 0.00 μB/atom.

---

Copy entry 2 word for word.
This record from the Alexandria database describes an optimized crystal structure of NbCuIr2. The functional is PBE-GGA.

```
4
Lattice="4.0091 0.0000 0.0000 0.0000 4.0091 0.0000 0.0000 0.0000 3.6745" Properties=species:S:1:pos:R:3 pbc="T T T"
Nb 0.0000 0.0000 0.0000
Cu 2.0046 2.0046 0.0000
Ir 0.0000 2.0046 1.8373
Ir 2.0046 0.0000 1.8373
```

Summary:
For the raw total energy, the calculation gives -8.30 eV/atom. As for the size of the total moment: 0.00 μB/atom.